PrSmSeS: optimized geometry, GGA-PBEsol.

Cell: 4.0888 4.0888 5.7700 Å, 90.00 90.00 90.00°
Space group P4/mmm (No. 123)
Unique sites:
1 Pr 0.0000 0.0000 0.0000 [1 per cell]
2 Sm 0.5000 0.5000 0.5000 [1 per cell]
3 Se 0.5000 0.5000 0.0000 [1 per cell]
4 S 0.0000 0.0000 0.5000 [1 per cell]

Calculated values
DOS at the Fermi energy = 0.477 states/eV per atom
Magnetic moment = 0.0 Bohr magnetons per cell
Raw total energy = -26.4 eV/cell

RuPt: optimized geometry, GGA-PBEsol.

Cell: 2.7196 2.7196 8.8592 Å, 90.00 90.00 120.00°
Space group P-3m1 (No. 164)
Unique sites:
1 Ru 0.3333 0.6667 0.3866 [2 per cell]
2 Pt 0.3333 0.6667 0.8653 [2 per cell]

Calculated values
DOS at the Fermi energy = 1.373 states/eV per atom
Magnetic moment = 0.0 Bohr magnetons per cell
Energy relative to the elements = 0.01 eV/atom

- Among the records above, which one has the highest DOS at the Fermi energy?
  RuPt